Crystalline FeSbBr2 at its relaxed geometry. Source: Alexandria, functional GGA-PBE.

abc: 3.3247 6.4312 11.5029
angles: 90.00 90.00 90.00
Space group Cmmm (No. 65)
Symmetry-distinct sites (fractional):
Fe: 0.0000 0.0000 0.0000 (multiplicity 2)
Sb: 0.0000 0.0000 0.5000 (multiplicity 2)
Br: 0.0000 0.5000 0.1587 (multiplicity 4)

Magnetization (Bohr magnetons per cell): 7.422
Excess energy over the best structure of this formula in the dataset (eV/atom): 0.252
Uncorrected formation energy (meV/atom): 141.0


Crystalline FeSb2Br at its relaxed geometry. Source: Alexandria, functional GGA-PBE.

abc: 3.3040 3.2734 8.2214
angles: 90.00 90.35 90.00
Space group P2/m (No. 10)
Symmetry-distinct sites (fractional):
Fe: 0.0000 0.0000 0.0000 (multiplicity 1)
Sb: 0.4967 0.5000 0.8112 (multiplicity 2)
Br: 0.0000 0.0000 0.5000 (multiplicity 1)

Magnetization (Bohr magnetons per cell): 1.646
Excess energy over the best structure of this formula in the dataset (eV/atom): 0.116
Uncorrected formation energy (meV/atom): 115.9


Crystalline FeSbBr2 at its relaxed geometry. Source: Alexandria, functional GGA-PBE.

abc: 5.1448 5.1448 7.1350
angles: 90.00 90.00 90.00
Space group I-4m2 (No. 119)
Symmetry-distinct sites (fractional):
Fe: 0.0000 0.0000 0.0000 (multiplicity 2)
Sb: 0.0000 0.5000 0.2500 (multiplicity 2)
Br: 0.0000 0.0000 0.5000 (multiplicity 2)
Br: 0.0000 0.5000 0.7500 (multiplicity 2)

Magnetization (Bohr magnetons per cell): 6.029
Excess energy over the best structure of this formula in the dataset (eV/atom): 0.687
Uncorrected formation energy (meV/atom): 576.4


Crystalline FeSb2Br at its relaxed geometry. Source: Alexandria, functional GGA-PBE.

abc: 7.6527 7.6643 3.1483
angles: 90.00 90.00 90.00
Space group Cmmm (No. 65)
Symmetry-distinct sites (fractional):
Fe: 0.0000 0.0000 0.0000 (multiplicity 2)
Sb: 0.2500 0.2500 0.5000 (multiplicity 4)
Br: 0.0000 0.5000 0.0000 (multiplicity 2)

Magnetization (Bohr magnetons per cell): 6.304
Excess energy over the best structure of this formula in the dataset (eV/atom): 0.553
Uncorrected formation energy (meV/atom): 552.3


Crystalline FeSb2Br at its relaxed geometry. Source: Alexandria, functional GGA-PBE.

abc: 4.4447 4.6048 9.5255
angles: 90.00 90.00 90.00
Space group Cmm2 (No. 35)
Symmetry-distinct sites (fractional):
Fe: 0.0000 0.0000 0.0000 (multiplicity 2)
Sb: 0.0000 0.0000 0.4703 (multiplicity 2)
Sb: 0.0000 0.5000 0.1912 (multiplicity 2)
Br: 0.0000 0.5000 0.8400 (multiplicity 2)

Magnetization (Bohr magnetons per cell): 5.747
Excess energy over the best structure of this formula in the dataset (eV/atom): 0.255
Uncorrected formation energy (meV/atom): 254.3


Crystalline FeSbBr2 at its relaxed geometry. Source: Alexandria, functional GGA-PBE.

abc: 6.7361 6.7361 9.7488
angles: 90.00 90.00 90.00
Space group I-42d (No. 122)
Symmetry-distinct sites (fractional):
Fe: 0.0000 0.0000 0.0000 (multiplicity 4)
Sb: 0.0000 0.0000 0.5000 (multiplicity 4)
Br: 0.1421 0.2500 0.1250 (multiplicity 8)

Magnetization (Bohr magnetons per cell): 0.001
Excess energy over the best structure of this formula in the dataset (eV/atom): 0.715
Uncorrected formation energy (meV/atom): 604.0


Crystalline FeSbBr2 at its relaxed geometry. Source: Alexandria, functional GGA-PBE.

abc: 5.1891 3.4954 7.3662
angles: 90.00 105.25 90.00
Space group P2/m (No. 10)
Symmetry-distinct sites (fractional):
Fe: 0.0000 0.0000 0.0000 (multiplicity 1)
Sb: 0.5000 0.0000 0.0000 (multiplicity 1)
Br: 0.1459 0.5000 0.2580 (multiplicity 2)

Magnetization (Bohr magnetons per cell): 2.597
Excess energy over the best structure of this formula in the dataset (eV/atom): 0.118
Uncorrected formation energy (meV/atom): 7.3


Crystalline FeSb2Br at its relaxed geometry. Source: Alexandria, functional GGA-PBE.

abc: 4.6865 4.6865 8.3868
angles: 90.00 90.00 90.00
Space group I4/mmm (No. 139)
Symmetry-distinct sites (fractional):
Fe: 0.0000 0.0000 0.0000 (multiplicity 2)
Sb: 0.0000 0.5000 0.2500 (multiplicity 4)
Br: 0.0000 0.0000 0.5000 (multiplicity 2)

Magnetization (Bohr magnetons per cell): 5.598
Excess energy over the best structure of this formula in the dataset (eV/atom): 0.556
Uncorrected formation energy (meV/atom): 556.2


Crystalline FeSbBr2 at its relaxed geometry. Source: Alexandria, functional GGA-PBE.

abc: 3.3927 4.7273 6.1370
angles: 90.00 90.00 90.00
Space group Pmmm (No. 47)
Symmetry-distinct sites (fractional):
Fe: 0.0000 0.0000 0.0000 (multiplicity 1)
Sb: 0.5000 0.0000 0.5000 (multiplicity 1)
Br: 0.0000 0.5000 0.5000 (multiplicity 1)
Br: 0.5000 0.5000 0.0000 (multiplicity 1)

Magnetization (Bohr magnetons per cell): 3.666
Excess energy over the best structure of this formula in the dataset (eV/atom): 0.540
Uncorrected formation energy (meV/atom): 428.7


Crystalline FeSb2Br at its relaxed geometry. Source: Alexandria, functional GGA-PBE.

abc: 7.1897 7.1897 7.1897
angles: 90.00 90.00 90.00
Space group F-43m (No. 216)
Symmetry-distinct sites (fractional):
Fe: 0.0000 0.0000 0.0000 (multiplicity 4)
Sb: 0.0000 0.0000 0.5000 (multiplicity 4)
Sb: 0.2500 0.2500 0.2500 (multiplicity 4)
Br: 0.2500 0.2500 0.7500 (multiplicity 4)

Magnetization (Bohr magnetons per cell): 11.946
Excess energy over the best structure of this formula in the dataset (eV/atom): 0.530
Uncorrected formation energy (meV/atom): 529.6


Crystalline FeSbBr at its relaxed geometry. Source: Alexandria, functional GGA-PBE.

abc: 3.4616 3.4616 7.4143
angles: 90.00 90.00 120.00
Space group P3m1 (No. 156)
Symmetry-distinct sites (fractional):
Fe: 0.0000 0.0000 0.0000 (multiplicity 1)
Sb: 0.6667 0.3333 0.2440 (multiplicity 1)
Br: 0.3333 0.6667 0.7956 (multiplicity 1)

Magnetization (Bohr magnetons per cell): 2.405
Excess energy over the best structure of this formula in the dataset (eV/atom): 0.000
Uncorrected formation energy (meV/atom): -12.4


Crystalline FeSbBr2 at its relaxed geometry. Source: Alexandria, functional GGA-PBE.

abc: 3.4291 5.5121 13.7479
angles: 90.00 90.00 90.00
Space group Imm2 (No. 44)
Symmetry-distinct sites (fractional):
Fe: 0.0000 0.0000 0.0000 (multiplicity 2)
Sb: 0.0000 0.5000 0.3510 (multiplicity 2)
Br: 0.0000 0.0000 0.4129 (multiplicity 2)
Br: 0.0000 0.5000 0.6250 (multiplicity 2)

Magnetization (Bohr magnetons per cell): 5.989
Excess energy over the best structure of this formula in the dataset (eV/atom): 0.078
Uncorrected formation energy (meV/atom): -32.6


Crystalline FeSbBr3 at its relaxed geometry. Source: Alexandria, functional GGA-PBE.

abc: 4.8882 4.8882 4.8882
angles: 90.00 90.00 90.00
Space group Pm-3m (No. 221)
Symmetry-distinct sites (fractional):
Fe: 0.0000 0.0000 0.0000 (multiplicity 1)
Sb: 0.5000 0.5000 0.5000 (multiplicity 1)
Br: 0.0000 0.0000 0.5000 (multiplicity 3)

Magnetization (Bohr magnetons per cell): 0.000
Excess energy over the best structure of this formula in the dataset (eV/atom): 0.000
Uncorrected formation energy (meV/atom): 288.3


Crystalline FeSbBr2 at its relaxed geometry. Source: Alexandria, functional GGA-PBE.

abc: 3.3616 3.3616 8.6882
angles: 90.00 90.00 90.00
Space group P4mm (No. 99)
Symmetry-distinct sites (fractional):
Fe: 0.0000 0.0000 0.0000 (multiplicity 1)
Sb: 0.5000 0.5000 0.2066 (multiplicity 1)
Br: 0.0000 0.0000 0.4461 (multiplicity 1)
Br: 0.5000 0.5000 0.8413 (multiplicity 1)

Magnetization (Bohr magnetons per cell): 3.207
Excess energy over the best structure of this formula in the dataset (eV/atom): 0.233
Uncorrected formation energy (meV/atom): 122.2


Crystalline FeSb2Br at its relaxed geometry. Source: Alexandria, functional GGA-PBE.

abc: 6.2152 8.0481 8.1283
angles: 90.00 90.00 90.00
Space group Fmmm (No. 69)
Symmetry-distinct sites (fractional):
Fe: 0.0000 0.0000 0.0000 (multiplicity 4)
Sb: 0.0000 0.2500 0.2500 (multiplicity 8)
Br: 0.0000 0.0000 0.5000 (multiplicity 4)

Magnetization (Bohr magnetons per cell): 12.583
Excess energy over the best structure of this formula in the dataset (eV/atom): 0.422
Uncorrected formation energy (meV/atom): 422.0